Entry 1:
NdTm2ScSe4 | PBE-GGA | optimized geometry

Properties
Density ... 7.5 g cm⁻³
Spin magnetization ... 0.000 μB/atom
DFT total energy ... -5.913 eV/atom

Unit cell a=6.9967 b=3.9885 c=7.0915 alpha=90.00 beta=108.74 gamma=90.00
Positions (direct):
Nd: 0.0000 0.0000 0.0000
Tm: 0.5000 0.0000 0.5000
Tm: 0.5000 0.5000 0.0000
Sc: 0.0000 0.5000 0.5000
Se: 0.2505 0.0000 0.7381
Se: 0.2597 0.5000 0.2655
Se: 0.7403 0.5000 0.7345
Se: 0.7495 0.0000 0.2619



Entry 2:
La8CdRh2 | PBE-GGA | optimized geometry

Properties
Density ... 6.6 g cm⁻³
Spin magnetization ... 0.000 μB/atom
DFT total energy ... -5.323 eV/atom
DFT formation energy ... -0.32 eV per atom

Unit cell a=8.4834 b=8.4834 c=6.5493 alpha=95.73 beta=95.73 gamma=49.99
Positions (direct):
La: 0.0749 0.0749 0.3384
La: 0.1330 0.6156 0.1181
La: 0.2947 0.2947 0.6201
La: 0.3844 0.8670 0.8819
La: 0.6156 0.1330 0.1181
La: 0.7053 0.7053 0.3799
La: 0.8670 0.3844 0.8819
La: 0.9251 0.9251 0.6616
Cd: 0.5000 0.5000 0.5000
Rh: 0.2296 0.2296 0.1683
Rh: 0.7704 0.7704 0.8317